Entry 1:
A geometry-optimized MgTcSb2 structure. Source: the Alexandria database, functional PBE-GGA.

The total magnetic moment is 0.00 μB/atom. Its crystal system is tetragonal. For the formation energy from raw total energies, the calculation gives 370 meV per atom. The calculation puts the excess energy over the best structure of this formula in the dataset at 1.52 eV per formula unit.

The space group is I-42d (No. 122) and the conventional cell measures 6.445, 6.445 and 11.997 Å, with angles of 90.00, 90.00 and 90.00 degrees. Symmetry generates all atoms from Mg at (0.000, 0.000, 0.000), Tc at (0.000, 0.000, 0.500) and Sb at (0.205, 0.250, 0.625).

=====

Entry 2:
A geometry-optimized Re2OsAu structure. Source: the Alexandria database, functional PBE-GGA.

The total magnetic moment is 0.00 μB/atom. Its crystal system is orthorhombic. The calculation puts the excess energy over the best structure of this formula in the dataset at 1.06 eV per formula unit. The value obtained for the formation energy is 0.52 eV per atom.

The space group is Cmm2 (No. 35) and the conventional cell measures 2.858, 4.622 and 9.594 Å, with angles of 90.00, 90.00 and 90.00 degrees. Symmetry generates all atoms from Re at (0.000, 0.000, 0.000), Re at (0.000, 0.500, 0.235), Os at (0.000, 0.000, 0.468) and Au at (0.000, 0.500, 0.735).

=====

Entry 3:
A geometry-optimized CaEu2Au structure. Source: the Alexandria database, functional PBE-GGA.

The total magnetic moment is 3.68 μB/atom. Its crystal system is tetragonal. The calculation puts the excess energy over the best structure of this formula in the dataset at 0.00 eV per formula unit. The value obtained for the formation energy is -0.41 eV per atom.

The space group is P4/mmm (No. 123) and the conventional cell measures 3.818, 3.818 and 9.429 Å, with angles of 90.00, 90.00 and 90.00 degrees. Symmetry generates all atoms from Ca at (0.000, 0.000, 0.000), Eu at (0.500, 0.500, 0.313) and Au at (0.000, 0.000, 0.500).

=====

Entry 4:
A geometry-optimized Zr2Ir3 structure. Source: the Alexandria database, functional PBE-GGA.

The total magnetic moment is 0.00 μB/atom. Its crystal system is orthorhombic. The calculation puts the excess energy over the best structure of this formula in the dataset at 0.00 eV per formula unit. The value obtained for the formation energy is -0.71 eV per atom.

The space group is Fdd2 (No. 43) and the conventional cell measures 8.980, 13.262 and 6.017 Å, with angles of 90.00, 90.00 and 90.00 degrees. Symmetry generates all atoms from Zr at (0.076, 0.203, 0.000), Ir at (0.000, 0.000, 0.106) and Ir at (0.052, 0.106, 0.469).